# Rb3Pr2ErTe6

A geometry-optimized Rb3Pr2ErTe6 structure (PBE-GGA, Alexandria).

Structure (CIF):
```
data_Rb3Pr2ErTe6
_chemical_formula_sum 'Rb3 Pr2 Er1 Te6'
_cell_length_a 8.004
_cell_length_b 8.004
_cell_length_c 8.975
_cell_angle_alpha 98.56
_cell_angle_beta 98.56
_cell_angle_gamma 120.01
_space_group_name_H-M_alt 'P 1'
_space_group_IT_number 1
_space_group_name_Hall 'P 1'
loop_
_atom_site_label
_atom_site_fract_x
_atom_site_fract_y
_atom_site_fract_z
_atom_site_occupancy
Rb1 0.000 0.000 0.000 1
Rb2 0.331 0.669 0.000 1
Rb3 0.669 0.331 0.000 1
Pr1 0.166 0.834 0.500 1
Pr2 0.834 0.166 0.500 1
Er1 0.500 0.500 0.500 1
Te1 0.110 0.432 0.297 1
Te2 0.246 0.246 0.704 1
Te3 0.432 0.110 0.297 1
Te4 0.568 0.890 0.703 1
Te5 0.754 0.754 0.296 1
Te6 0.890 0.568 0.703 1
```

crystal system = monoclinic
symmetry = No. 12
energy relative to the elements, uncorrected = -1.394 eV per atom

---

# KCu4Se

A geometry-optimized KCu4Se structure (PBE-GGA, Alexandria).

Structure (CIF):
```
data_KCu4Se
_chemical_formula_sum 'K1 Cu4 Se1'
_cell_length_a 5.212
_cell_length_b 5.212
_cell_length_c 5.212
_cell_angle_alpha 60.00
_cell_angle_beta 60.00
_cell_angle_gamma 60.00
_space_group_name_H-M_alt 'P 1'
_space_group_IT_number 1
_space_group_name_Hall 'P 1'
loop_
_atom_site_label
_atom_site_fract_x
_atom_site_fract_y
_atom_site_fract_z
_atom_site_occupancy
K1 0.000 0.000 0.000 1
Cu1 0.374 0.374 0.374 1
Cu2 0.374 0.374 0.877 1
Cu3 0.374 0.877 0.374 1
Cu4 0.877 0.374 0.374 1
Se1 0.750 0.750 0.750 1
```

crystal system = cubic
symmetry = No. 216
energy relative to the elements, uncorrected = 0.175 eV per atom

---

# ZnAgSb2Se

A geometry-optimized ZnAgSb2Se structure (PBE-GGA, Alexandria).

Structure (CIF):
```
data_ZnAgSb2Se
_chemical_formula_sum 'Zn1 Ag1 Sb2 Se1'
_cell_length_a 5.192
_cell_length_b 5.192
_cell_length_c 4.903
_cell_angle_alpha 90.00
_cell_angle_beta 90.00
_cell_angle_gamma 90.00
_space_group_name_H-M_alt 'P 1'
_space_group_IT_number 1
_space_group_name_Hall 'P 1'
loop_
_atom_site_label
_atom_site_fract_x
_atom_site_fract_y
_atom_site_fract_z
_atom_site_occupancy
Zn1 0.000 0.000 0.000 1
Ag1 0.000 0.000 0.500 1
Sb1 0.000 0.500 0.000 1
Sb2 0.500 0.000 0.000 1
Se1 0.500 0.500 0.500 1
```

crystal system = tetragonal
symmetry = No. 123
energy relative to the elements, uncorrected = 0.537 eV per atom

---

# AcCdIn5

A geometry-optimized AcCdIn5 structure (PBE-GGA, Alexandria).

Structure (CIF):
```
data_AcCdIn5
_chemical_formula_sum 'Ac1 Cd1 In5'
_cell_length_a 5.126
_cell_length_b 5.126
_cell_length_c 7.732
_cell_angle_alpha 90.00
_cell_angle_beta 90.00
_cell_angle_gamma 90.00
_space_group_name_H-M_alt 'P 1'
_space_group_IT_number 1
_space_group_name_Hall 'P 1'
loop_
_atom_site_label
_atom_site_fract_x
_atom_site_fract_y
_atom_site_fract_z
_atom_site_occupancy
Ac1 0.000 0.000 0.000 1
Cd1 0.000 0.000 0.500 1
In1 0.000 0.500 0.295 1
In2 0.000 0.500 0.705 1
In3 0.500 0.000 0.295 1
In4 0.500 0.000 0.705 1
In5 0.500 0.500 0.000 1
```

crystal system = tetragonal
symmetry = No. 123
energy of formation = -0.198 eV per atom

---

# LaYMn2

A geometry-optimized LaYMn2 structure (PBE-GGA, Alexandria).

Structure (CIF):
```
data_LaYMn2
_chemical_formula_sum 'La1 Y1 Mn2'
_cell_length_a 3.271
_cell_length_b 3.271
_cell_length_c 8.625
_cell_angle_alpha 90.00
_cell_angle_beta 90.00
_cell_angle_gamma 90.00
_space_group_name_H-M_alt 'P 1'
_space_group_IT_number 1
_space_group_name_Hall 'P 1'
loop_
_atom_site_label
_atom_site_fract_x
_atom_site_fract_y
_atom_site_fract_z
_atom_site_occupancy
La1 0.000 0.000 0.000 1
Y1 0.500 0.500 0.629 1
Mn1 0.000 0.000 0.395 1
Mn2 0.500 0.500 0.265 1
```

crystal system = tetragonal
symmetry = No. 99
energy of formation = 0.224 eV per atom

---

# PmEuGeSb

A geometry-optimized PmEuGeSb structure (PBE-GGA, Alexandria).

Structure (CIF):
```
data_PmEuGeSb
_chemical_formula_sum 'Pm1 Eu1 Ge1 Sb1'
_cell_length_a 5.387
_cell_length_b 5.387
_cell_length_c 5.387
_cell_angle_alpha 60.00
_cell_angle_beta 60.00
_cell_angle_gamma 60.00
_space_group_name_H-M_alt 'P 1'
_space_group_IT_number 1
_space_group_name_Hall 'P 1'
loop_
_atom_site_label
_atom_site_fract_x
_atom_site_fract_y
_atom_site_fract_z
_atom_site_occupancy
Pm1 0.000 0.000 0.000 1
Eu1 0.500 0.500 0.500 1
Ge1 0.750 0.750 0.750 1
Sb1 0.250 0.250 0.250 1
```

crystal system = cubic
symmetry = No. 216
energy relative to the elements, uncorrected = -0.649 eV per atom

---

# HgAsBr2

A geometry-optimized HgAsBr2 structure (PBE-GGA, Alexandria).

Structure (CIF):
```
data_HgAsBr2
_chemical_formula_sum 'Hg1 As1 Br2'
_cell_length_a 10.593
_cell_length_b 10.593
_cell_length_c 10.593
_cell_angle_alpha 19.42
_cell_angle_beta 19.42
_cell_angle_gamma 19.42
_space_group_name_H-M_alt 'P 1'
_space_group_IT_number 1
_space_group_name_Hall 'P 1'
loop_
_atom_site_label
_atom_site_fract_x
_atom_site_fract_y
_atom_site_fract_z
_atom_site_occupancy
Hg1 0.000 0.000 0.000 1
As1 0.500 0.500 0.500 1
Br1 0.101 0.101 0.101 1
Br2 0.899 0.899 0.899 1
```

crystal system = trigonal
symmetry = No. 166
energy relative to the elements, uncorrected = 0.164 eV per atom

---

# HoEr2Zr

A geometry-optimized HoEr2Zr structure (PBE-GGA, Alexandria).

Structure (CIF):
```
data_HoEr2Zr
_chemical_formula_sum 'Ho2 Er4 Zr2'
_cell_length_a 11.273
_cell_length_b 11.273
_cell_length_c 5.971
_cell_angle_alpha 94.96
_cell_angle_beta 94.96
_cell_angle_gamma 17.57
_space_group_name_H-M_alt 'P 1'
_space_group_IT_number 1
_space_group_name_Hall 'P 1'
loop_
_atom_site_label
_atom_site_fract_x
_atom_site_fract_y
_atom_site_fract_z
_atom_site_occupancy
Ho1 0.000 0.000 0.000 1
Ho2 0.500 0.500 0.500 1
Er1 0.131 0.131 0.710 1
Er2 0.368 0.368 0.788 1
Er3 0.631 0.631 0.210 1
Er4 0.867 0.867 0.288 1
Zr1 0.249 0.249 0.081 1
Zr2 0.749 0.749 0.583 1
```

crystal system = monoclinic
symmetry = No. 8
energy of formation = 0.053 eV per atom

---

Number 1: VASP energy -52.60 eV per cell. Number 2: VASP energy -19.92 eV per cell. Number 3: VASP energy -13.17 eV per cell. Number 4: VASP energy -20.10 eV per cell. Number 5: VASP energy -28.83 eV per cell. Number 6: VASP energy -26.36 eV per cell. Number 7: VASP energy -7.64 eV per cell. Number 8: VASP energy -44.08 eV per cell.